[1]
Density functional theory data (PBEsol) for a geometry-optimized CrAg2Pt structure.

a = 2.934 Å, b = 4.528 Å, c = 5.418 Å
α = 114.70°, β = 105.71°, γ = 90.00°
Each line ends with the local moment (μB).
Atoms (fractional coordinates):
Ag1 0.748 0.748 0.496  0.04
Ag2 0.252 0.252 0.504  0.04
Cr1 0.000 0.500 0.000  3.36
Pt1 0.500 0.000 0.000  0.11

Formation energy = 204 meV/atom
Electronic total energy = -23.01 eV/f.u.
Mass density = 12.31 g cm⁻³
Total moment = 3.820 Bohr magnetons per cell
Energy above the lowest structure with this stoichiometry = 31 meV/atom


[2]
Density functional theory data (PBEsol) for a geometry-optimized Ca2TlRh structure.

a = 3.498 Å, b = 3.498 Å, c = 7.610 Å
α = 90.00°, β = 90.00°, γ = 90.00°
Atoms (fractional coordinates):
Tl1 0.500 0.500 0.500
Rh1 0.500 0.500 0.000
Ca1 0.000 0.000 0.788
Ca2 0.000 0.000 0.212

Formation energy = -343 meV/atom
Electronic total energy = -16.41 eV/f.u.
Mass density = 6.91 g cm⁻³
Total moment = 0.000 Bohr magnetons per cell
Energy above the lowest structure with this stoichiometry = 0 meV/atom


Question: Which of these has the highest total moment?
Answer: CrAg2Pt


Question: The lowest total moment belongs to which entry?
Answer: Ca2TlRh


Repeat the first record exactly.
Density functional theory data (PBEsol) for a geometry-optimized CrAg2Pt structure.

a = 2.934 Å, b = 4.528 Å, c = 5.418 Å
α = 114.70°, β = 105.71°, γ = 90.00°
Each line ends with the local moment (μB).
Atoms (fractional coordinates):
Ag1 0.748 0.748 0.496  0.04
Ag2 0.252 0.252 0.504  0.04
Cr1 0.000 0.500 0.000  3.36
Pt1 0.500 0.000 0.000  0.11

Formation energy = 204 meV/atom
Electronic total energy = -23.01 eV/f.u.
Mass density = 12.31 g cm⁻³
Total moment = 3.820 Bohr magnetons per cell
Energy above the lowest structure with this stoichiometry = 31 meV/atom


Question: Which formula does entry 2 have?
Answer: Ca2TlRh